Entry from the Alexandria database: an optimized crystal structure of Li5Ni3Sb2O10 (GGA-PBEsol). Values from VASP.

Values from the calculation:
For the theoretical density, the calculation gives 5.385 g/cm3. For the volume, the calculation gives 9.471 Å³/atom. The energy comes out at -118.758 eV per cell. Its uncorrected formation energy is -1442 meV per atom.

Quantum ESPRESSO input file:
```
&SYSTEM
  ibrav = 0, nat = 20, ntyp = 4
/
ATOMIC_SPECIES
Li 6.94 Li.upf
Ni 58.69 Ni.upf
Sb 121.76 Sb.upf
O 16.00 O.upf
CELL_PARAMETERS angstrom
5.236 0.141 0.050
-0.983 5.047 -0.127
-1.799 -2.757 7.175
ATOMIC_POSITIONS angstrom
Li 1.228 1.215 3.549
Li -0.363 3.483 2.709
Li 2.818 -1.052 4.390
Li 0.460 -0.634 5.818
Li 1.995 3.065 1.281
Ni -0.491 2.524 -0.063
Ni 1.177 2.165 6.353
Ni 1.278 0.266 0.745
Sb -1.391 1.672 4.970
Sb 3.846 0.758 2.128
O -1.320 -1.882 6.057
O 3.775 4.313 1.041
O -0.557 1.009 6.666
O 3.013 1.422 0.432
O -0.564 0.134 3.886
O 3.019 2.297 3.212
O 0.220 1.780 1.674
O 2.235 0.651 5.424
O 0.229 2.775 4.611
O 2.226 -0.344 2.488
```

Entry from the Alexandria database: an optimized crystal structure of TaHgCl3 (GGA-PBEsol). Values from VASP.

Values from the calculation:
For the theoretical density, the calculation gives 7.169 g/cm3. For the volume, the calculation gives 22.601 Å³/atom. As for the energy above the lowest structure with this stoichiometry: 0.000 eV/atom. The energy comes out at -21.981 eV per cell. Its uncorrected formation energy is -568 meV per atom.

Quantum ESPRESSO input file:
```
&SYSTEM
  ibrav = 0, nat = 5, ntyp = 3
/
ATOMIC_SPECIES
Cl 35.45 Cl.upf
Hg 200.59 Hg.upf
Ta 180.95 Ta.upf
CELL_PARAMETERS angstrom
-1.976 -1.811 4.024
4.204 -2.111 1.115
1.339 3.954 2.438
ATOMIC_POSITIONS angstrom
Cl 2.102 -1.056 0.557
Cl 0.670 1.977 1.219
Cl -0.988 -0.905 2.012
Hg 1.784 0.016 3.788
Ta 0.000 0.000 0.000
```

Entry from the Alexandria database: an optimized crystal structure of Li3TlSb (GGA-PBEsol). Values from VASP.

Values from the calculation:
For the theoretical density, the calculation gives 4.299 g/cm3. For the volume, the calculation gives 26.806 Å³/atom. The energy comes out at -13.994 eV per cell. Its uncorrected formation energy is -181 meV per atom.

Quantum ESPRESSO input file:
```
&SYSTEM
  ibrav = 0, nat = 5, ntyp = 3
/
ATOMIC_SPECIES
Sb 121.76 Sb.upf
Tl 204.38 Tl.upf
Li 6.94 Li.upf
CELL_PARAMETERS angstrom
5.118 0.000 0.000
0.000 5.118 0.000
0.000 0.000 5.118
ATOMIC_POSITIONS angstrom
Sb 0.000 0.000 0.000
Tl 2.559 2.559 2.559
Li 0.000 2.559 0.000
Li 0.000 0.000 2.559
Li 2.559 0.000 0.000
```